Entry 1:
A geometry-optimized SrIn2Si2Au7 structure, computed with PBE.

Summary:
- Fermi-level density of states: 0.33 states/eV per atom
- ΔE_f (raw): -0.250 eV per atom

a = 4.950 Å, b = 4.950 Å, c = 11.127 Å
α = 97.26°, β = 97.26°, γ = 90.20°
Fractional positions:
1 Sr 0.000 0.000 0.000
2 In 0.115 0.115 0.368
3 In 0.885 0.885 0.632
4 Si 0.296 0.296 0.792
5 Si 0.704 0.704 0.208
6 Au 0.179 0.589 0.214
7 Au 0.371 0.371 0.582
8 Au 0.411 0.821 0.786
9 Au 0.500 0.500 0.000
10 Au 0.589 0.179 0.214
11 Au 0.629 0.629 0.418
12 Au 0.821 0.411 0.786


Entry 2:
A geometry-optimized ScTiN2 structure, computed with PBE.

Summary:
- Fermi-level density of states: 0.48 states/eV per atom
- ΔE_f (raw): -1.505 eV per atom

a = 4.761 Å, b = 4.761 Å, c = 9.404 Å
α = 90.00°, β = 90.00°, γ = 90.00°
Fractional positions:
1 Sc 0.000 0.000 0.000
2 Sc 0.000 0.500 0.250
3 Sc 0.500 0.000 0.750
4 Sc 0.500 0.500 0.500
5 Ti 0.000 0.000 0.500
6 Ti 0.000 0.500 0.750
7 Ti 0.500 0.000 0.250
8 Ti 0.500 0.500 0.000
9 N 0.223 0.250 0.625
10 N 0.250 0.723 0.875
11 N 0.250 0.777 0.375
12 N 0.277 0.250 0.125
13 N 0.723 0.750 0.125
14 N 0.750 0.223 0.375
15 N 0.750 0.277 0.875
16 N 0.777 0.750 0.625


Entry 3:
A geometry-optimized RbTl5In2 structure, computed with PBE.

Summary:
- E_form: -23 meV per atom
- Fermi-level density of states: 0.45 states/eV per atom
- Polymorph energy (0 for the lowest one): 0.000 eV per atom

a = 4.773 Å, b = 9.014 Å, c = 12.773 Å
α = 90.00°, β = 90.00°, γ = 90.00°
Fractional positions:
1 Rb 0.000 0.000 0.000
2 Rb 0.500 0.500 0.500
3 Tl 0.000 0.195 0.363
4 Tl 0.000 0.195 0.637
5 Tl 0.000 0.500 0.000
6 Tl 0.000 0.805 0.363
7 Tl 0.000 0.805 0.637
8 Tl 0.500 0.000 0.500
9 Tl 0.500 0.305 0.137
10 Tl 0.500 0.305 0.863
11 Tl 0.500 0.695 0.137
12 Tl 0.500 0.695 0.863
13 In 0.000 0.500 0.247
14 In 0.000 0.500 0.753
15 In 0.500 0.000 0.253
16 In 0.500 0.000 0.747


Entry 4:
A geometry-optimized TmHfNb structure, computed with PBE.

Summary:
- E_form: 151 meV per atom
- Fermi-level density of states: 1.19 states/eV per atom
- Polymorph energy (0 for the lowest one): 0.000 eV per atom

a = 3.648 Å, b = 3.648 Å, c = 10.522 Å
α = 90.00°, β = 90.00°, γ = 90.00°
Fractional positions:
1 Tm 0.000 0.000 0.000
2 Tm 0.500 0.500 0.500
3 Hf 0.000 0.000 0.299
4 Hf 0.500 0.500 0.799
5 Nb 0.000 0.000 0.691
6 Nb 0.500 0.500 0.191


Entry 5:
A geometry-optimized AcNd2Au structure, computed with PBE.

Summary:
- E_form: -256 meV per atom
- Fermi-level density of states: 1.31 states/eV per atom
- Polymorph energy (0 for the lowest one): 0.131 eV per atom

a = 4.023 Å, b = 4.023 Å, c = 30.395 Å
α = 90.00°, β = 90.00°, γ = 120.00°
Fractional positions:
1 Ac 0.000 0.000 0.000
2 Ac 0.333 0.667 0.667
3 Ac 0.667 0.333 0.333
4 Nd 0.000 0.000 0.563
5 Nd 0.000 0.000 0.768
6 Nd 0.333 0.667 0.230
7 Nd 0.333 0.667 0.435
8 Nd 0.667 0.333 0.102
9 Nd 0.667 0.333 0.897
10 Au 0.000 0.000 0.165
11 Au 0.333 0.667 0.832
12 Au 0.667 0.333 0.499


Entry 6:
A geometry-optimized TaNiHg3 structure, computed with PBE.

Summary:
- E_form: 1431 meV per atom
- Fermi-level density of states: 1.75 states/eV per atom
- Polymorph energy (0 for the lowest one): 0.375 eV per atom

a = 5.377 Å, b = 5.377 Å, c = 5.377 Å
α = 90.00°, β = 90.00°, γ = 90.00°
Fractional positions:
1 Ta 0.000 0.000 0.000
2 Ni 0.500 0.500 0.500
3 Hg 0.000 0.000 0.500
4 Hg 0.000 0.500 0.000
5 Hg 0.500 0.000 0.000